Entry 1:
First-principles (GGA-PBE) data for a geometry-optimized KSr2P structure, as listed in Alexandria.

The structure in POSCAR format:
```
KSr2P
1.0
5.926 0.000 0.000
2.963 5.132 0.000
2.963 1.711 4.838
K P Sr
1 1 2
direct
0.500 0.500 0.500
0.750 0.750 0.750
0.000 0.000 0.000
0.250 0.250 0.250
```

DFT total energy = -2.34 eV/atom
Calculated volume = 147 Å³ per cell

***

Entry 2:
First-principles (GGA-PBE) data for a geometry-optimized YSiNiC structure, as listed in Alexandria.

The structure in POSCAR format:
```
YSiNiC
1.0
3.660 0.000 0.000
0.000 3.660 0.000
0.000 0.000 8.692
Y Si Ni C
2 2 2 2
direct
0.000 0.500 0.856
0.500 0.000 0.144
0.000 0.500 0.339
0.500 0.000 0.661
0.000 0.000 0.500
0.500 0.500 0.500
0.500 0.000 0.868
0.000 0.500 0.132
```

Formation energy from raw total energies = -0.5483 eV/atom
DFT total energy = -7.27 eV/atom
Calculated volume = 116 Å³ per cell

***

Entry 3:
First-principles (GGA-PBE) data for a geometry-optimized Rb12Ba3Cl5 structure, as listed in Alexandria.

The structure in POSCAR format:
```
Rb12Ba3Cl5
1.0
-19.261 -1.318 -2.253
6.043 -13.783 12.301
4.503 17.500 7.159
Ba Cl Rb
12 20 48
direct
0.750 0.375 0.125
0.875 0.750 0.125
0.375 0.750 0.625
0.250 0.125 0.375
0.875 0.125 0.250
0.375 0.625 0.250
0.625 0.375 0.750
0.125 0.875 0.750
0.750 0.875 0.625
0.625 0.250 0.375
0.125 0.250 0.875
0.250 0.625 0.875
0.125 0.375 0.250
0.000 0.500 0.000
0.000 0.000 0.000
0.375 0.250 0.125
0.500 0.000 0.500
0.500 0.500 0.000
0.125 0.750 0.375
0.750 0.125 0.875
0.750 0.625 0.375
0.375 0.125 0.750
0.625 0.875 0.250
0.500 0.500 0.500
0.500 0.000 0.000
0.000 0.000 0.500
0.250 0.375 0.625
0.250 0.875 0.125
0.000 0.500 0.500
0.875 0.250 0.625
0.625 0.750 0.875
0.875 0.625 0.750
0.681 0.092 0.994
0.313 0.494 0.402
0.006 0.408 0.319
0.494 0.181 0.092
0.589 0.681 0.687
0.006 0.598 0.187
0.313 0.819 0.411
0.098 0.911 0.092
0.598 0.006 0.687
0.681 0.589 0.187
0.819 0.506 0.408
0.813 0.902 0.994
0.092 0.681 0.494
0.408 0.402 0.089
0.089 0.902 0.408
0.411 0.092 0.598
0.089 0.187 0.181
0.506 0.687 0.098
0.813 0.911 0.319
0.092 0.411 0.098
0.408 0.006 0.819
0.598 0.592 0.411
0.902 0.813 0.494
0.819 0.313 0.911
0.402 0.408 0.589
0.098 0.187 0.506
0.181 0.687 0.089
0.187 0.089 0.681
0.592 0.994 0.181
0.908 0.589 0.902
0.494 0.313 0.902
0.589 0.908 0.402
0.911 0.813 0.819
0.911 0.098 0.592
0.908 0.319 0.506
0.187 0.098 0.006
0.592 0.598 0.911
0.402 0.994 0.313
0.319 0.411 0.813
0.181 0.494 0.592
0.902 0.089 0.908
0.687 0.181 0.589
0.506 0.819 0.908
0.994 0.402 0.813
0.411 0.319 0.313
0.994 0.592 0.681
0.687 0.506 0.598
0.319 0.908 0.006
```

Formation energy from raw total energies = -0.7029 eV/atom
DFT total energy = -2.03 eV/atom
Calculated volume = 5653 Å³ per cell

***

Entry 4:
First-principles (GGA-PBE) data for a geometry-optimized InHg4Pb structure, as listed in Alexandria.

The structure in POSCAR format:
```
InHg4Pb
1.0
6.149 0.000 0.000
3.075 5.325 0.000
3.075 1.775 5.021
Hg In Pb
4 1 1
direct
0.125 0.625 0.625
0.625 0.625 0.625
0.625 0.125 0.625
0.625 0.625 0.125
0.250 0.250 0.250
0.000 0.000 0.000
```

E above lowest polymorph = 69 meV per atom
DFT total energy = -1.19 eV/atom
Calculated volume = 164 Å³ per cell

***

Entry 5:
First-principles (GGA-PBE) data for a geometry-optimized Pm4Pr10Dy structure, as listed in Alexandria.

The structure in POSCAR format:
```
Pm4Pr10Dy
1.0
7.204 0.000 3.253
3.602 8.860 1.626
-0.045 0.000 9.702
Pm Pr Dy
4 10 1
direct
0.400 0.801 0.399
0.799 0.601 0.801
0.201 0.399 0.199
0.600 0.199 0.601
0.250 0.500 0.500
0.653 0.298 0.900
0.049 0.100 0.298
0.448 0.900 0.702
0.850 0.702 0.100
0.347 0.702 0.100
0.750 0.500 0.500
0.150 0.298 0.900
0.552 0.100 0.298
0.951 0.900 0.702
0.000 0.000 0.000
```

DFT total energy = -4.07 eV/atom
Calculated volume = 620 Å³ per cell